# VCr2SnH, relaxed, DFT PBE
data_VCr2SnH
_space_group_name_H-M_alt 'P 4/m m m'
_space_group_IT_number 123
_space_group_name_Hall '-P 4 2'
_cell_length_a 4.0818
_cell_length_b 4.0818
_cell_length_c 3.7138
_cell_angle_alpha 90.00
_cell_angle_beta 90.00
_cell_angle_gamma 90.00
loop_
_atom_site_label
_atom_site_fract_x
_atom_site_fract_y
_atom_site_fract_z
V1 0.0000 0.0000 0.0000
Cr1 0.0000 0.5000 0.5000
Sn1 0.5000 0.5000 0.0000
H1 0.0000 0.0000 0.5000
# D(E_F), states/eV/f.u.: 4.24
# M_tot, μB per atom: 0.594
# Uncorrected energy, eV for the cell shown: -35.32



# SmGePd, relaxed, DFT PBE
data_SmGePd
_space_group_name_H-M_alt 'P n m a'
_space_group_IT_number 62
_cell_length_a 7.2215
_cell_length_b 4.4594
_cell_length_c 7.6753
_cell_angle_alpha 90.00
_cell_angle_beta 90.00
_cell_angle_gamma 90.00
loop_
_space_group_symop_operation_xyz
'x,y,z'
'-x,-y,-z'
'-x+1/2,-y,z+1/2'
'x+1/2,y,-z+1/2'
'x+1/2,-y+1/2,-z+1/2'
'-x+1/2,y+1/2,z+1/2'
'-x,y+1/2,-z'
'x,-y+1/2,z'
loop_
_atom_site_label
_atom_site_fract_x
_atom_site_fract_y
_atom_site_fract_z
Sm1 0.0031 0.2500 0.2067
Ge1 0.1986 0.2500 0.5893
Pd1 0.1968 0.7500 0.4181
# D(E_F), states/eV/f.u.: 2.05
# Formation enthalpy at 0 K, kJ/mol of atoms: -91
# M_tot, μB per atom: 0.000



# MgFe3As, relaxed, DFT PBE
data_MgFe3As
_space_group_name_H-M_alt 'P m -3 m'
_space_group_IT_number 221
_space_group_name_Hall '-P 4 2 3'
_cell_length_a 4.3997
_cell_length_b 4.3997
_cell_length_c 4.3997
_cell_angle_alpha 90.00
_cell_angle_beta 90.00
_cell_angle_gamma 90.00
loop_
_atom_site_label
_atom_site_fract_x
_atom_site_fract_y
_atom_site_fract_z
Mg1 0.0000 0.0000 0.0000
Fe1 0.0000 0.5000 0.5000
As1 0.5000 0.5000 0.5000
# D(E_F), states/eV/f.u.: 11.06
# Excess energy over the best structure of this formula in the dataset, meV/atom: 0
# Formation enthalpy at 0 K, kJ/mol of atoms: 49
# M_tot, μB per atom: 1.231



# K12H5Pd3, relaxed, DFT PBE
data_K12H5Pd3
_space_group_name_H-M_alt 'I a -3 d'
_space_group_IT_number 230
_space_group_name_Hall '-I 4bd 2c 3'
_cell_length_a 17.5761
_cell_length_b 17.5761
_cell_length_c 17.5761
_cell_angle_alpha 90.00
_cell_angle_beta 90.00
_cell_angle_gamma 90.00
loop_
_atom_site_label
_atom_site_fract_x
_atom_site_fract_y
_atom_site_fract_z
K1 0.0260 0.0573 0.6532
H1 0.0000 0.0000 0.0000
H2 0.0000 0.2500 0.3750
Pd1 0.0000 0.2500 0.1250
# D(E_F), states/eV/f.u.: 8.30
# M_tot, μB per atom: 0.027
# Uncorrected energy, eV for the cell shown: -365.73



# SnPPtO, relaxed, DFT PBE
data_SnPPtO
_space_group_name_H-M_alt 'P 3 m 1'
_space_group_IT_number 156
_cell_length_a 3.4890
_cell_length_b 3.4890
_cell_length_c 6.8779
_cell_angle_alpha 90.00
_cell_angle_beta 90.00
_cell_angle_gamma 120.00
loop_
_space_group_symop_operation_xyz
'x,y,z'
'-y,x-y,z'
'-x+y,-x,z'
'-y,-x,z'
'-x+y,y,z'
'x,x-y,z'
loop_
_atom_site_label
_atom_site_fract_x
_atom_site_fract_y
_atom_site_fract_z
Sn1 0.0000 0.0000 0.0000
P1 0.3333 0.6667 0.3409
Pt1 0.6667 0.3333 0.5041
O1 0.6667 0.3333 0.8523
# D(E_F), states/eV/f.u.: 1.05
# Excess energy over the best structure of this formula in the dataset, meV/atom: 252
# M_tot, μB per atom: 0.000



# PmSm8Cd6, relaxed, DFT PBE
data_PmSm8Cd6
_space_group_name_H-M_alt 'R -3'
_space_group_IT_number 148
_space_group_name_Hall '-R 3'
_cell_length_a 9.1425
_cell_length_b 9.1425
_cell_length_c 19.4481
_cell_angle_alpha 90.00
_cell_angle_beta 90.00
_cell_angle_gamma 120.00
loop_
_atom_site_label
_atom_site_fract_x
_atom_site_fract_y
_atom_site_fract_z
Pm1 0.0000 0.0000 0.0000
Sm1 0.0000 0.0000 0.3332
Sm2 0.9998 0.3330 0.8827
Cd1 0.0000 0.3342 0.0503
# D(E_F), states/eV/f.u.: 19.66
# Formation enthalpy at 0 K, kJ/mol of atoms: -8
# M_tot, μB per atom: 0.101



# SrAl2Zn, relaxed, DFT PBE
data_SrAl2Zn
_space_group_name_H-M_alt 'P 1'
_space_group_IT_number 1
_cell_length_a 4.3725
_cell_length_b 4.3885
_cell_length_c 6.3433
_cell_angle_alpha 90.55
_cell_angle_beta 110.07
_cell_angle_gamma 119.31
loop_
_space_group_symop_operation_xyz
'x,y,z'
loop_
_atom_site_label
_atom_site_fract_x
_atom_site_fract_y
_atom_site_fract_z
Sr1 0.0000 0.0000 0.0000
Al1 0.4149 0.2086 0.6236
Al2 0.9654 0.4841 0.4490
Zn1 0.5873 0.7967 0.3821
# D(E_F), states/eV/f.u.: 2.08
# Formation enthalpy at 0 K, kJ/mol of atoms: -15
# M_tot, μB per atom: 0.000



# LaY2Zr, relaxed, DFT PBE
data_LaY2Zr
_space_group_name_H-M_alt 'P 4/m m m'
_space_group_IT_number 123
_space_group_name_Hall '-P 4 2'
_cell_length_a 4.0370
_cell_length_b 4.0370
_cell_length_c 7.6099
_cell_angle_alpha 90.00
_cell_angle_beta 90.00
_cell_angle_gamma 90.00
loop_
_atom_site_label
_atom_site_fract_x
_atom_site_fract_y
_atom_site_fract_z
La1 0.0000 0.0000 0.0000
Y1 0.5000 0.5000 0.2840
Zr1 0.0000 0.0000 0.5000
# D(E_F), states/eV/f.u.: 9.01
# Excess energy over the best structure of this formula in the dataset, meV/atom: 101
# Formation enthalpy at 0 K, kJ/mol of atoms: 17
# M_tot, μB per atom: 0.007



# CaAcRh, relaxed, DFT PBE
data_CaAcRh
_space_group_name_H-M_alt 'P 3 m 1'
_space_group_IT_number 156
_cell_length_a 4.2393
_cell_length_b 4.2393
_cell_length_c 6.6273
_cell_angle_alpha 90.00
_cell_angle_beta 90.00
_cell_angle_gamma 120.00
loop_
_space_group_symop_operation_xyz
'x,y,z'
'-y,x-y,z'
'-x+y,-x,z'
'-y,-x,z'
'-x+y,y,z'
'x,x-y,z'
loop_
_atom_site_label
_atom_site_fract_x
_atom_site_fract_y
_atom_site_fract_z
Ca1 0.0000 0.0000 0.0000
Ac1 0.6667 0.3333 0.5329
Rh1 0.3333 0.6667 0.7604
# D(E_F), states/eV/f.u.: 0.59
# Excess energy over the best structure of this formula in the dataset, meV/atom: 46
# Formation enthalpy at 0 K, kJ/mol of atoms: -42
# M_tot, μB per atom: 0.000



# Li4Np, relaxed, DFT PBE
data_Li4Np
_space_group_name_H-M_alt 'P m -3 m'
_space_group_IT_number 221
_space_group_name_Hall '-P 4 2 3'
_cell_length_a 5.7634
_cell_length_b 5.7634
_cell_length_c 5.7634
_cell_angle_alpha 90.00
_cell_angle_beta 90.00
_cell_angle_gamma 90.00
loop_
_atom_site_label
_atom_site_fract_x
_atom_site_fract_y
_atom_site_fract_z
Li1 0.0000 0.0000 0.0000
Li2 0.0000 0.5000 0.5000
Np1 0.5000 0.5000 0.5000
# D(E_F), states/eV/f.u.: 24.52
# Formation enthalpy at 0 K, kJ/mol of atoms: 132
# M_tot, μB per atom: 1.316



# Tl2IrW, relaxed, DFT PBE
data_Tl2IrW
_space_group_name_H-M_alt 'R 3 m'
_space_group_IT_number 160
_space_group_name_Hall 'R 3 -2"'
_cell_length_a 3.0330
_cell_length_b 3.0330
_cell_length_c 30.3406
_cell_angle_alpha 90.00
_cell_angle_beta 90.00
_cell_angle_gamma 120.00
loop_
_atom_site_label
_atom_site_fract_x
_atom_site_fract_y
_atom_site_fract_z
Tl1 0.0000 0.0000 0.0000
Tl2 0.0000 0.0000 0.2344
Ir1 0.0000 0.0000 0.7505
W1 0.0000 0.0000 0.4829
# D(E_F), states/eV/f.u.: 2.40
# Excess energy over the best structure of this formula in the dataset, meV/atom: 145
# Formation enthalpy at 0 K, kJ/mol of atoms: 50
# M_tot, μB per atom: 0.000



# TbTlIn, relaxed, DFT PBE
data_TbTlIn
_space_group_name_H-M_alt 'I 4 m m'
_space_group_IT_number 107
_space_group_name_Hall 'I 4 -2'
_cell_length_a 3.6079
_cell_length_b 3.6079
_cell_length_c 12.5214
_cell_angle_alpha 90.00
_cell_angle_beta 90.00
_cell_angle_gamma 90.00
loop_
_atom_site_label
_atom_site_fract_x
_atom_site_fract_y
_atom_site_fract_z
Tb1 0.0000 0.0000 0.0000
Tl1 0.0000 0.0000 0.3259
In1 0.0000 0.0000 0.6649
# D(E_F), states/eV/f.u.: 2.49
# Excess energy over the best structure of this formula in the dataset, meV/atom: 92
# Formation enthalpy at 0 K, kJ/mol of atoms: -20
# M_tot, μB per atom: 0.000



# LaTb2In2Ag2, relaxed, DFT PBE
data_LaTb2In2Ag2
_space_group_name_H-M_alt 'R -3 m'
_space_group_IT_number 166
_space_group_name_Hall '-R 3 2"'
_cell_length_a 4.9088
_cell_length_b 4.9088
_cell_length_c 27.2960
_cell_angle_alpha 90.00
_cell_angle_beta 90.00
_cell_angle_gamma 120.00
loop_
_atom_site_label
_atom_site_fract_x
_atom_site_fract_y
_atom_site_fract_z
La1 0.0000 0.0000 0.0000
Tb1 0.0000 0.0000 0.1278
In1 0.0000 0.0000 0.2563
Ag1 0.0000 0.0000 0.4094
# D(E_F), states/eV/f.u.: 4.50
# Formation enthalpy at 0 K, kJ/mol of atoms: -31
# M_tot, μB per atom: 0.000



# Tl7CdHg12, relaxed, DFT PBE
data_Tl7CdHg12
_space_group_name_H-M_alt 'R -3'
_space_group_IT_number 148
_space_group_name_Hall '-R 3'
_cell_length_a 11.8822
_cell_length_b 11.8822
_cell_length_c 14.1973
_cell_angle_alpha 90.00
_cell_angle_beta 90.00
_cell_angle_gamma 120.00
loop_
_atom_site_label
_atom_site_fract_x
_atom_site_fract_y
_atom_site_fract_z
Tl1 0.0000 0.0000 0.0000
Tl2 0.0533 0.8655 0.2956
Cd1 0.0000 0.0000 0.5000
Hg1 0.0400 0.5782 0.2174
Hg2 0.0578 0.4552 0.5788
# D(E_F), states/eV/f.u.: 8.11
# Formation enthalpy at 0 K, kJ/mol of atoms: 2
# M_tot, μB per atom: 0.000



# Sr4Li5Ac, relaxed, DFT PBE
data_Sr4Li5Ac
_space_group_name_H-M_alt 'P 4/m m m'
_space_group_IT_number 123
_space_group_name_Hall '-P 4 2'
_cell_length_a 4.1828
_cell_length_b 4.1828
_cell_length_c 21.1179
_cell_angle_alpha 90.00
_cell_angle_beta 90.00
_cell_angle_gamma 90.00
loop_
_atom_site_label
_atom_site_fract_x
_atom_site_fract_y
_atom_site_fract_z
Sr1 0.0000 0.0000 0.1004
Sr2 0.0000 0.0000 0.3043
Li1 0.5000 0.5000 0.0000
Li2 0.5000 0.5000 0.2010
Li3 0.5000 0.5000 0.4046
Ac1 0.0000 0.0000 0.5000
# D(E_F), states/eV/f.u.: 10.76
# Formation enthalpy at 0 K, kJ/mol of atoms: 5
# M_tot, μB per atom: 0.000



# Nd6MgAg, relaxed, DFT PBE
data_Nd6MgAg
_space_group_name_H-M_alt 'P -1'
_space_group_IT_number 2
_cell_length_a 6.3440
_cell_length_b 6.3447
_cell_length_c 6.3456
_cell_angle_alpha 93.93
_cell_angle_beta 93.84
_cell_angle_gamma 93.93
loop_
_space_group_symop_operation_xyz
'x,y,z'
'-x,-y,-z'
loop_
_atom_site_label
_atom_site_fract_x
_atom_site_fract_y
_atom_site_fract_z
Nd1 0.0317 0.2552 0.0535
Nd2 0.2445 0.9471 0.4681
Nd3 0.4467 0.4689 0.7446
Mg1 0.5000 0.0000 0.0000
Ag1 0.0000 0.5000 0.5000
# D(E_F), states/eV/f.u.: 7.96
# Formation enthalpy at 0 K, kJ/mol of atoms: 1
# M_tot, μB per atom: 0.000



# PmHN, relaxed, DFT PBE
data_PmHN
_space_group_name_H-M_alt 'C 1 2/m 1'
_space_group_IT_number 12
_cell_length_a 6.9400
_cell_length_b 4.4056
_cell_length_c 5.2338
_cell_angle_alpha 90.00
_cell_angle_beta 90.45
_cell_angle_gamma 90.00
loop_
_space_group_symop_operation_xyz
'x,y,z'
'-x,-y,-z'
'-x,y,-z'
'x,-y,z'
'x+1/2,y+1/2,z'
'-x+1/2,-y+1/2,-z'
'-x+1/2,y+1/2,-z'
'x+1/2,-y+1/2,z'
loop_
_atom_site_label
_atom_site_fract_x
_atom_site_fract_y
_atom_site_fract_z
Pm1 0.1738 0.0000 0.2593
H1 0.0384 0.5000 0.0556
N1 0.1724 0.0000 0.7245
# Excess energy over the best structure of this formula in the dataset, meV/atom: 0
# M_tot, μB per atom: 0.000



# TaBe17Co, relaxed, DFT PBE
data_TaBe17Co
_space_group_name_H-M_alt 'R 3 m'
_space_group_IT_number 160
_space_group_name_Hall 'R 3 -2"'
_cell_length_a 7.2546
_cell_length_b 7.2546
_cell_length_c 10.6403
_cell_angle_alpha 90.00
_cell_angle_beta 90.00
_cell_angle_gamma 120.00
loop_
_atom_site_label
_atom_site_fract_x
_atom_site_fract_y
_atom_site_fract_z
Ta1 0.0000 0.0000 0.0000
Be1 0.0000 0.0000 0.5587
Be2 0.0000 0.0000 0.7593
Be3 0.0358 0.3614 0.3285
Be4 0.1702 0.3405 0.1444
Be5 0.1724 0.3448 0.4997
Be6 0.1741 0.3482 0.8405
Co1 0.0000 0.0000 0.3326
# D(E_F), states/eV/f.u.: 3.62
# Formation enthalpy at 0 K, kJ/mol of atoms: -13
# M_tot, μB per atom: 0.000



# Cs2HF, relaxed, DFT PBE
data_Cs2HF
_space_group_name_H-M_alt 'R 3 m'
_space_group_IT_number 160
_space_group_name_Hall 'R 3 -2"'
_cell_length_a 4.2851
_cell_length_b 4.2851
_cell_length_c 22.8634
_cell_angle_alpha 90.00
_cell_angle_beta 90.00
_cell_angle_gamma 120.00
loop_
_atom_site_label
_atom_site_fract_x
_atom_site_fract_y
_atom_site_fract_z
Cs1 0.0000 0.0000 0.0000
Cs2 0.0000 0.0000 0.1642
H1 0.0000 0.0000 0.5821
F1 0.0000 0.0000 0.7493
# D(E_F), states/eV/f.u.: 0.00
# Excess energy over the best structure of this formula in the dataset, meV/atom: 31
# M_tot, μB per atom: 0.013



# MnTl2Au, relaxed, DFT PBE
data_MnTl2Au
_space_group_name_H-M_alt 'I -4 2 d'
_space_group_IT_number 122
_space_group_name_Hall 'I -4 2bw'
_cell_length_a 4.3536
_cell_length_b 4.3536
_cell_length_c 20.2352
_cell_angle_alpha 90.00
_cell_angle_beta 90.00
_cell_angle_gamma 90.00
loop_
_atom_site_label
_atom_site_fract_x
_atom_site_fract_y
_atom_site_fract_z
Mn1 0.0000 0.0000 0.0000
Tl1 0.2456 0.2500 0.1250
Au1 0.0000 0.0000 0.5000
# D(E_F), states/eV/f.u.: 2.39
# Excess energy over the best structure of this formula in the dataset, meV/atom: 230
# Formation enthalpy at 0 K, kJ/mol of atoms: 36
# M_tot, μB per atom: 1.046



# MgScOs2, relaxed, DFT PBE
data_MgScOs2
_space_group_name_H-M_alt 'R -3 m'
_space_group_IT_number 166
_space_group_name_Hall '-R 3 2"'
_cell_length_a 2.9291
_cell_length_b 2.9291
_cell_length_c 26.2570
_cell_angle_alpha 90.00
_cell_angle_beta 90.00
_cell_angle_gamma 120.00
loop_
_atom_site_label
_atom_site_fract_x
_atom_site_fract_y
_atom_site_fract_z
Mg1 0.0000 0.0000 0.0000
Sc1 0.0000 0.0000 0.5000
Os1 0.0000 0.0000 0.2487
# D(E_F), states/eV/f.u.: 4.78
# Formation enthalpy at 0 K, kJ/mol of atoms: 14
# M_tot, μB per atom: 0.000



# CaDy2Hf, relaxed, DFT PBE
data_CaDy2Hf
_space_group_name_H-M_alt 'P 4/m m m'
_space_group_IT_number 123
_space_group_name_Hall '-P 4 2'
_cell_length_a 3.4745
_cell_length_b 3.4745
_cell_length_c 10.1774
_cell_angle_alpha 90.00
_cell_angle_beta 90.00
_cell_angle_gamma 90.00
loop_
_atom_site_label
_atom_site_fract_x
_atom_site_fract_y
_atom_site_fract_z
Ca1 0.0000 0.0000 0.0000
Dy1 0.5000 0.5000 0.2861
Hf1 0.0000 0.0000 0.5000
# D(E_F), states/eV/f.u.: 6.69
# Excess energy over the best structure of this formula in the dataset, meV/atom: 0
# Formation enthalpy at 0 K, kJ/mol of atoms: 13
# M_tot, μB per atom: 0.000